The following is a PBE calculation of a geometry-optimized Ca2ZnMo structure, from the Alexandria database.

Cell lengths 5.5639, 5.5639, 5.5639 Å; angles 133.50, 133.50, 67.88 degrees
Atoms (fractional coordinates):
Ca  0.2500  0.7500  0.5000
Ca  0.7500  0.2500  0.5000
Zn  0.0000  0.0000  0.0000
Mo  0.5000  0.5000  0.0000

Output
Space-group type   I4/mmm (139)
Magnetic moment   0.4 Bohr magnetons per cell
Energy relative to the elements   600 meV/atom